# KRbCu3, optimized geometry, DFT PBE
# Space group   Pm-3m
# DFT formation energy   114.4 kJ/mol of atoms
data_KRbCu3
_cell_length_a 6.0261
_cell_length_b 6.0261
_cell_length_c 6.0261
_cell_angle_alpha 90.00
_cell_angle_beta 90.00
_cell_angle_gamma 90.00
_symmetry_space_group_name_H-M 'P 1'
_symmetry_Int_Tables_number 1
_symmetry_space_group_name_Hall 'P 1'
loop_
_atom_site_label
_atom_site_fract_x
_atom_site_fract_y
_atom_site_fract_z
K1 0.5000 0.5000 0.5000
Cu1 0.0000 0.5000 0.0000
Cu2 0.0000 0.0000 0.5000
Cu3 0.5000 0.0000 0.0000
Rb1 0.0000 0.0000 0.0000

=====

# V6OsRu5, optimized geometry, DFT PBE
# Space group   P2/m
# DFT formation energy   -22.8 kJ/mol of atoms
data_V6OsRu5
_cell_length_a 4.2706
_cell_length_b 6.0090
_cell_length_c 6.7565
_cell_angle_alpha 90.00
_cell_angle_beta 108.36
_cell_angle_gamma 90.00
_symmetry_space_group_name_H-M 'P 1'
_symmetry_Int_Tables_number 1
_symmetry_space_group_name_Hall 'P 1'
loop_
_atom_site_label
_atom_site_fract_x
_atom_site_fract_y
_atom_site_fract_z
Ru1 0.6679 0.5000 0.3375
Ru2 0.3303 0.0000 0.6590
Ru3 0.0000 0.5000 0.0000
Ru4 0.6697 0.0000 0.3410
Ru5 0.3321 0.5000 0.6625
Os1 0.0000 0.0000 0.0000
V1 0.8368 0.7499 0.6721
V2 0.8368 0.2501 0.6721
V3 0.5000 0.2482 0.0000
V4 0.5000 0.7518 0.0000
V5 0.1632 0.7499 0.3279
V6 0.1632 0.2501 0.3279

=====

# Mg2Si3, optimized geometry, DFT PBE
# Space group   P-1
# Raw formation energy   0.0779 eV per atom
data_Mg2Si3
_cell_length_a 4.4190
_cell_length_b 5.2612
_cell_length_c 17.3058
_cell_angle_alpha 92.81
_cell_angle_beta 95.62
_cell_angle_gamma 111.11
_symmetry_space_group_name_H-M 'P 1'
_symmetry_Int_Tables_number 1
_symmetry_space_group_name_Hall 'P 1'
loop_
_atom_site_label
_atom_site_fract_x
_atom_site_fract_y
_atom_site_fract_z
Mg1 0.0261 0.9161 0.7828
Mg2 0.9739 0.0839 0.2172
Mg3 0.6480 0.3351 0.9172
Mg4 0.3520 0.6649 0.0828
Mg5 0.3541 0.6932 0.2987
Mg6 0.6459 0.3068 0.7013
Mg7 0.0493 0.1294 0.4056
Mg8 0.9507 0.8706 0.5944
Si1 0.9196 0.9300 0.9346
Si2 0.6749 0.2779 0.0822
Si3 0.3251 0.7221 0.9178
Si4 0.0804 0.0700 0.0654
Si5 0.5670 0.2485 0.3088
Si6 0.4330 0.7515 0.6912
Si7 0.3676 0.7566 0.4754
Si8 0.6324 0.2434 0.5246
Si9 0.7622 0.5634 0.4240
Si10 0.2378 0.4366 0.5760
Si11 0.2241 0.4636 0.7949
Si12 0.7759 0.5364 0.2051

=====

# ZnAgSn2Se, optimized geometry, DFT PBE
# Space group   P4/mmm
# Raw formation energy   0.3392 eV per atom
data_ZnAgSn2Se
_cell_length_a 5.2170
_cell_length_b 4.8514
_cell_length_c 5.2170
_cell_angle_alpha 90.00
_cell_angle_beta 90.00
_cell_angle_gamma 90.00
_symmetry_space_group_name_H-M 'P 1'
_symmetry_Int_Tables_number 1
_symmetry_space_group_name_Hall 'P 1'
loop_
_atom_site_label
_atom_site_fract_x
_atom_site_fract_y
_atom_site_fract_z
Zn1 0.0000 0.0000 0.0000
Se1 0.5000 0.5000 0.5000
Sn1 0.0000 0.0000 0.5000
Sn2 0.5000 0.0000 0.0000
Ag1 0.0000 0.5000 0.0000

=====

# SmGe2P2Pt7, optimized geometry, DFT PBE
# Space group   C2/m
# DFT formation energy   -52.9 kJ/mol of atoms
data_SmGe2P2Pt7
_cell_length_a 3.9210
_cell_length_b 3.9210
_cell_length_c 15.1914
_cell_angle_alpha 82.75
_cell_angle_beta 82.75
_cell_angle_gamma 89.41
_symmetry_space_group_name_H-M 'P 1'
_symmetry_Int_Tables_number 1
_symmetry_space_group_name_Hall 'P 1'
loop_
_atom_site_label
_atom_site_fract_x
_atom_site_fract_y
_atom_site_fract_z
Sm1 0.0000 0.0000 0.0000
Ge1 0.7559 0.7559 0.4317
Ge2 0.2441 0.2441 0.5683
P1 0.6168 0.6168 0.7570
P2 0.3832 0.3832 0.2430
Pt1 0.5000 0.5000 0.0000
Pt2 0.3199 0.3199 0.3972
Pt3 0.6801 0.6801 0.6028
Pt4 0.9259 0.4257 0.1540
Pt5 0.4257 0.9259 0.1540
Pt6 0.5743 0.0741 0.8460
Pt7 0.0741 0.5743 0.8460

=====

# Pr3AgHg, optimized geometry, DFT PBE
# Space group   Cmcm
# DFT formation energy   -27.1 kJ/mol of atoms
data_Pr3AgHg
_cell_length_a 5.3971
_cell_length_b 5.4030
_cell_length_c 10.5396
_cell_angle_alpha 90.00
_cell_angle_beta 75.16
_cell_angle_gamma 90.00
_symmetry_space_group_name_H-M 'P 1'
_symmetry_Int_Tables_number 1
_symmetry_space_group_name_Hall 'P 1'
loop_
_atom_site_label
_atom_site_fract_x
_atom_site_fract_y
_atom_site_fract_z
Pr1 0.7613 0.2500 0.1257
Pr2 0.3878 0.2500 0.8728
Pr3 0.5743 0.2500 0.4998
Pr4 0.2606 0.7500 0.1272
Pr5 0.8870 0.7500 0.8743
Pr6 0.0741 0.7500 0.5002
Ag1 0.4794 0.7500 0.6895
Ag2 0.1689 0.2500 0.3105
Hg1 0.6699 0.7500 0.3086
Hg2 0.9785 0.2500 0.6914

=====

# HfAsS2I, optimized geometry, DFT PBE
# Space group   P4/mmm
# Raw formation energy   1.2548 eV per atom
data_HfAsS2I
_cell_length_a 4.8890
_cell_length_b 5.7819
_cell_length_c 4.8890
_cell_angle_alpha 90.00
_cell_angle_beta 90.00
_cell_angle_gamma 90.00
_symmetry_space_group_name_H-M 'P 1'
_symmetry_Int_Tables_number 1
_symmetry_space_group_name_Hall 'P 1'
loop_
_atom_site_label
_atom_site_fract_x
_atom_site_fract_y
_atom_site_fract_z
I1 0.0000 0.0000 0.0000
As1 0.5000 0.5000 0.5000
Hf1 0.0000 0.5000 0.0000
S1 0.0000 0.0000 0.5000
S2 0.5000 0.0000 0.0000

=====

# Y2Ga4NiPt3, optimized geometry, DFT PBE
# Space group   P-4m2
# DFT formation energy   -83.9 kJ/mol of atoms
data_Y2Ga4NiPt3
_cell_length_a 4.0318
_cell_length_b 4.0318
_cell_length_c 11.2233
_cell_angle_alpha 90.00
_cell_angle_beta 90.00
_cell_angle_gamma 90.00
_symmetry_space_group_name_H-M 'P 1'
_symmetry_Int_Tables_number 1
_symmetry_space_group_name_Hall 'P 1'
loop_
_atom_site_label
_atom_site_fract_x
_atom_site_fract_y
_atom_site_fract_z
Y1 0.5000 0.0000 0.2562
Y2 0.0000 0.5000 0.7438
Ga1 0.5000 0.5000 0.0000
Ga2 0.0000 0.0000 0.0000
Ga3 0.5000 0.0000 0.6293
Ga4 0.0000 0.5000 0.3707
Ni1 0.5000 0.5000 0.5000
Pt1 0.0000 0.0000 0.5000
Pt2 0.5000 0.0000 0.8528
Pt3 0.0000 0.5000 0.1472

=====

Summary of N(E_F) in states/eV/atom
2.08; 1.24; 0.23; 0.43; 0.28; 1.03; 1.30; 0.62
(order as listed above)
Summary of calculated density in g/cm³
2.4; 10.1; 2.4; 6.2; 12.4; 8.2; 5.3; 10.0
(order as listed above)